Record 1
VASP calculation (GGA-PBE) on an optimized crystal structure of RbBaPrSe3.

Cell lengths 4.499, 19.988, 12.606 Å; angles 90.00, 90.00, 90.00 degrees
Space group Cmcm (No. 63)
Asymmetric unit:
Rb: 0.000 0.131 0.250 [4 per cell]
Ba: 0.000 0.109 0.750 [4 per cell]
Pr: 0.000 0.500 0.000 [4 per cell]
Se: 0.000 0.102 0.505 [8 per cell]
Se: 0.000 0.500 0.250 [4 per cell]

=====

Record 2
VASP calculation (GGA-PBE) on an optimized crystal structure of PuZn.

Cell lengths 3.004, 4.969, 11.095 Å; angles 90.00, 90.00, 90.00 degrees
Space group Pmmn (No. 59, origin choice 2)
Asymmetric unit:
Pu: 0.250 0.250 0.070 [2 per cell]
Pu: 0.250 0.750 0.232 [2 per cell]
Zn: 0.250 0.250 0.527 [2 per cell]
Zn: 0.250 0.750 0.671 [2 per cell]

=====

Record 3
VASP calculation (GGA-PBE) on an optimized crystal structure of In2Au2SeS3.

Cell lengths 13.085, 5.909, 5.907 Å; angles 90.00, 115.89, 90.00 degrees
Space group C2 (No. 5)
Asymmetric unit:
In: 0.125 0.000 0.373 [4 per cell]
Au: 0.137 0.532 0.863 [4 per cell]
Se: 0.000 0.266 0.000 [2 per cell]
S: 0.000 0.754 0.500 [2 per cell]
S: 0.249 0.247 0.744 [4 per cell]

=====

Record 4
VASP calculation (GGA-PBE) on an optimized crystal structure of HoOsNO.

Cell lengths 3.782, 5.528, 4.937 Å; angles 90.00, 90.00, 90.00 degrees
Space group Pmc2_1 (No. 26)
Asymmetric unit:
Ho: 0.000 0.226 0.000 [2 per cell]
Os: 0.500 0.343 0.501 [2 per cell]
N: 0.000 0.330 0.494 [2 per cell]
O: 0.500 0.072 0.799 [2 per cell]

=====

Record 5
VASP calculation (GGA-PBE) on an optimized crystal structure of RbTmPb.

Cell lengths 7.654, 7.654, 7.654 Å; angles 90.00, 90.00, 90.00 degrees
Space group F-43m (No. 216)
Asymmetric unit:
Rb: 0.000 0.000 0.000 [4 per cell]
Tm: 0.250 0.250 0.750 [4 per cell]
Pb: 0.000 0.000 0.500 [4 per cell]

=====

Record 6
VASP calculation (GGA-PBE) on an optimized crystal structure of BaAcOs.

Cell lengths 7.370, 7.370, 7.370 Å; angles 90.00, 90.00, 90.00 degrees
Space group F-43m (No. 216)
Asymmetric unit:
Ba: 0.000 0.000 0.000 [4 per cell]
Ac: 0.000 0.000 0.500 [4 per cell]
Os: 0.250 0.250 0.750 [4 per cell]

=====

Record 7
VASP calculation (GGA-PBE) on an optimized crystal structure of LiTaReBi.

Cell lengths 6.500, 6.500, 6.500 Å; angles 90.00, 90.00, 90.00 degrees
Space group F-43m (No. 216)
Asymmetric unit:
Li: 0.000 0.000 0.000 [4 per cell]
Ta: 0.250 0.250 0.750 [4 per cell]
Re: 0.000 0.000 0.500 [4 per cell]
Bi: 0.250 0.250 0.250 [4 per cell]

=====

Record 8
VASP calculation (GGA-PBE) on an optimized crystal structure of GdErGa2Pd4.

Cell lengths 4.685, 4.685, 6.645 Å; angles 90.00, 90.00, 90.00 degrees
Space group P4/mmm (No. 123)
Asymmetric unit:
Gd: 0.000 0.000 0.000 [1 per cell]
Er: 0.500 0.500 0.500 [1 per cell]
Ga: 0.000 0.000 0.500 [1 per cell]
Ga: 0.500 0.500 0.000 [1 per cell]
Pd: 0.000 0.500 0.254 [4 per cell]

=====

Record 9
VASP calculation (GGA-PBE) on an optimized crystal structure of Ta4Co.

Cell lengths 9.859, 9.859, 5.303 Å; angles 90.00, 90.00, 90.00 degrees
Space group P4_2/mnm (No. 136)
Asymmetric unit:
Ta: 0.038 0.363 0.000 [8 per cell]
Ta: 0.066 0.257 0.500 [8 per cell]
Ta: 0.176 0.824 0.247 [8 per cell]
Co: 0.000 0.000 0.500 [2 per cell]
Co: 0.110 0.110 0.000 [4 per cell]

=====

Record 10
VASP calculation (GGA-PBE) on an optimized crystal structure of SrTePdO.

Cell lengths 7.042, 8.192, 6.366 Å; angles 90.00, 90.00, 90.00 degrees
Space group Pca2_1 (No. 29)
Asymmetric unit:
Sr: 0.084 0.135 0.000 [4 per cell]
Te: 0.168 0.534 0.706 [4 per cell]
Pd: 0.055 0.703 0.032 [4 per cell]
O: 0.099 0.086 0.627 [4 per cell]

=====

Record 11
VASP calculation (GGA-PBE) on an optimized crystal structure of RbAu2O4.

Cell lengths 6.713, 6.713, 10.206 Å; angles 90.00, 90.00, 90.00 degrees
Space group I4_1/a (No. 88, origin choice 2)
Asymmetric unit:
Rb: 0.000 0.250 0.125 [4 per cell]
Au: 0.000 0.000 0.500 [8 per cell]
O: 0.149 0.499 0.331 [16 per cell]

=====

Record 12
VASP calculation (GGA-PBE) on an optimized crystal structure of LuSiHO4.

Cell lengths 14.3576, 14.3576, 8.0849 Å; angles 90.00, 90.00, 120.00 degrees
Space group R3 (No. 146, hexagonal axes)
Asymmetric unit:
Lu: 0.0229 0.7828 0.0000 [9 per cell]
Lu: 0.1114 0.4326 0.0789 [9 per cell]
Si: 0.0036 0.8004 0.5882 [9 per cell]
Si: 0.1359 0.4311 0.7098 [9 per cell]
H: 0.0657 0.5958 0.0023 [9 per cell]
H: 0.1718 0.0618 0.7796 [9 per cell]
O: 0.0082 0.3739 0.2992 [9 per cell]
O: 0.0410 0.7031 0.2228 [9 per cell]
O: 0.0731 0.8332 0.7538 [9 per cell]
O: 0.0799 0.5004 0.7762 [9 per cell]
O: 0.0841 0.8594 0.4246 [9 per cell]
O: 0.1759 0.0759 0.9050 [9 per cell]
O: 0.1780 0.0819 0.5874 [9 per cell]
O: 0.2089 0.4305 0.8657 [9 per cell]

=====

Record 13
VASP calculation (GGA-PBE) on an optimized crystal structure of Cu3Ag.

Cell lengths 4.544, 4.639, 5.431 Å; angles 72.53, 89.80, 78.72 degrees
Space group P-1 (No. 2)
Asymmetric unit:
Cu: 0.116 0.252 0.205 [2 per cell]
Cu: 0.132 0.261 0.668 [2 per cell]
Cu: 0.371 0.761 0.559 [2 per cell]
Ag: 0.359 0.754 0.068 [2 per cell]

=====

Record 14
VASP calculation (GGA-PBE) on an optimized crystal structure of HfZr2.

Cell lengths 5.5723, 5.5723, 5.1384 Å; angles 90.00, 90.00, 120.00 degrees
Space group P-62m (No. 189)
Asymmetric unit:
Hf: 0.3333 0.6667 0.0000 [2 per cell]
Zr: 0.0000 0.0000 0.0000 [1 per cell]
Zr: 0.0000 0.3358 0.5000 [3 per cell]

=====

Record 15
VASP calculation (GGA-PBE) on an optimized crystal structure of SrAgNO.

Cell lengths 4.088, 5.368, 5.869 Å; angles 90.00, 90.00, 90.00 degrees
Space group Pmc2_1 (No. 26)
Asymmetric unit:
Sr: 0.000 0.194 0.000 [2 per cell]
Ag: 0.500 0.291 0.530 [2 per cell]
N: 0.500 0.036 0.259 [2 per cell]
O: 0.000 0.349 0.578 [2 per cell]

=====

Record 16
VASP calculation (GGA-PBE) on an optimized crystal structure of SrTmPO.

Cell lengths 4.337, 4.337, 8.944 Å; angles 90.00, 90.00, 90.00 degrees
Space group P4/nmm (No. 129, origin choice 2)
Asymmetric unit:
Sr: 0.250 0.750 0.000 [2 per cell]
Tm: 0.250 0.250 0.418 [2 per cell]
P: 0.250 0.250 0.782 [2 per cell]
O: 0.250 0.750 0.500 [2 per cell]

=====

Record 17
VASP calculation (GGA-PBE) on an optimized crystal structure of TbTaAsO.

Cell lengths 4.141, 4.975, 6.698 Å; angles 90.00, 90.00, 90.00 degrees
Space group Pmc2_1 (No. 26)
Asymmetric unit:
Tb: 0.000 0.185 0.000 [2 per cell]
Ta: 0.500 0.371 0.343 [2 per cell]
As: 0.500 0.137 0.694 [2 per cell]
O: 0.000 0.379 0.337 [2 per cell]

=====

Record 18
VASP calculation (GGA-PBE) on an optimized crystal structure of LaNdCl2O2.

Cell lengths 4.080, 4.080, 6.850 Å; angles 90.00, 90.00, 90.00 degrees
Space group P4mm (No. 99)
Asymmetric unit:
La: 0.000 0.000 0.000 [1 per cell]
Nd: 0.500 0.500 0.650 [1 per cell]
Cl: 0.000 0.000 0.458 [1 per cell]
Cl: 0.500 0.500 0.202 [1 per cell]
O: 0.000 0.500 0.823 [2 per cell]

=====

Record 19
VASP calculation (GGA-PBE) on an optimized crystal structure of BaUZn.

Cell lengths 7.423, 7.423, 7.423 Å; angles 90.00, 90.00, 90.00 degrees
Space group F-43m (No. 216)
Asymmetric unit:
Ba: 0.000 0.000 0.000 [4 per cell]
U: 0.000 0.000 0.500 [4 per cell]
Zn: 0.250 0.250 0.250 [4 per cell]

=====

Record 20
VASP calculation (GGA-PBE) on an optimized crystal structure of Gd4Bi2O.

Cell lengths 4.593, 4.593, 17.181 Å; angles 90.00, 90.00, 90.00 degrees
Space group I4/mmm (No. 139)
Asymmetric unit:
Gd: 0.000 0.000 0.176 [4 per cell]
Gd: 0.000 0.500 0.000 [4 per cell]
Bi: 0.000 0.000 0.362 [4 per cell]
O: 0.000 0.000 0.000 [2 per cell]

=====

| no. | energy (eV per atom) |
| --- | --- |
| 1 | -4.5865 |
| 2 | -7.6920 |
| 3 | -3.7746 |
| 4 | -8.4391 |
| 5 | -2.7452 |
| 6 | -5.3877 |
| 7 | -7.3548 |
| 8 | -5.3065 |
| 9 | -10.7128 |
| 10 | -5.0287 |
| 11 | -4.3582 |
| 12 | -7.4106 |
| 13 | -3.4168 |
| 14 | -9.0152 |
| 15 | -4.7047 |
| 16 | -5.7835 |
| 17 | -8.1486 |
| 18 | -6.9833 |
| 19 | -3.8401 |
| 20 | -5.8169 |